A relaxed structure of Y8Zn2Pt. Source: Alexandria, functional PBE-GGA.

Summary:
D(E_F)   15.22 states/eV/f.u.
Magnetization   0.00 μB/f.u.
DFT formation energy   -0.232 eV/atom
SG   Cm, No. 8

Structure (POSCAR):
```
Y8Zn2Pt
1.0
4.247 -6.848 0.000
4.247 6.848 0.000
-2.458 0.000 5.405
Y Zn Pt
8 2 1
Direct
0.000 0.000 0.000
0.016 0.263 0.583
0.173 0.560 0.211
0.263 0.016 0.583
0.463 0.714 0.856
0.560 0.173 0.211
0.714 0.463 0.856
0.723 0.723 0.412
0.050 0.654 0.694
0.654 0.050 0.694
0.360 0.360 0.019
```